Material: AgBrO3
Method: DFT, meta-GGA SCAN
State: single point on PBEsol structure

abc: 4.292 4.292 4.292
angles: 81.79 81.79 81.79
Sites, in units of the cell vectors:
O  0.571  0.097  0.571
O  0.097  0.571  0.571
Ag  0.950  0.950  0.950
Br  0.496  0.496  0.496
O  0.571  0.571  0.097

Properties
crystal system	trigonal
E_tot	-13.810	eV per atom
spin magnetization	0.01	μB/atom
space group	No. 160



Material: AgOsBr2
Method: DFT, meta-GGA SCAN
State: single point on PBEsol structure

abc: 2.997 3.167 9.721
angles: 90.00 90.00 118.25
Sites, in units of the cell vectors:
Os  0.500  0.000  0.500
Ag  0.500  0.000  0.000
Br  0.000  0.000  0.294
Br  0.000  0.000  0.706

Properties
crystal system	orthorhombic
E_tot	-34.702	eV per atom
spin magnetization	0.00	μB/atom
space group	No. 65
polymorph energy (0 for the lowest one)	350	meV/atom



Material: AgOsBr2
Method: DFT, meta-GGA SCAN
State: single point on PBEsol structure

abc: 3.730 3.730 7.482
angles: 75.57 75.57 60.00
Sites, in units of the cell vectors:
Ag  0.759  0.759  0.724
Br  0.219  0.219  0.344
Os  0.504  0.504  0.487
Br  0.018  0.018  0.945

Properties
crystal system	trigonal
E_tot	-35.001	eV per atom
spin magnetization	0.00	μB/atom
space group	No. 160
polymorph energy (0 for the lowest one)	52	meV/atom



Material: AgOs2Br
Method: DFT, meta-GGA SCAN
State: single point on PBEsol structure

abc: 2.864 2.864 7.540
angles: 90.00 90.00 90.00
Sites, in units of the cell vectors:
Os  0.000  0.000  0.256
Os  0.000  0.000  0.744
Br  0.500  0.500  0.500
Ag  0.500  0.500  0.000

Properties
crystal system	tetragonal
E_tot	-46.985	eV per atom
spin magnetization	0.00	μB/atom
space group	No. 123



Material: AgOsBr2
Method: DFT, meta-GGA SCAN
State: single point on PBEsol structure

abc: 2.984 4.497 6.578
angles: 109.99 103.11 90.00
Sites, in units of the cell vectors:
Ag  0.816  0.316  0.633
Br  0.185  0.685  0.370
Os  0.512  0.512  0.024
Br  0.987  0.987  0.973

Properties
crystal system	orthorhombic
E_tot	-34.721	eV per atom
spin magnetization	0.00	μB/atom
space group	No. 44
polymorph energy (0 for the lowest one)	331	meV/atom



Material: AgOsBr2
Method: DFT, meta-GGA SCAN
State: single point on PBEsol structure

abc: 3.161 4.252 7.123
angles: 107.30 90.00 90.00
Sites, in units of the cell vectors:
Os  0.000  0.853  0.580
Ag  0.500  0.398  0.672
Br  0.500  0.718  0.310
Br  0.000  0.031  0.938

Properties
crystal system	monoclinic
E_tot	-35.052	eV per atom
spin magnetization	0.00	μB/atom
space group	No. 6
polymorph energy (0 for the lowest one)	0	meV/atom



Material: AgOsBr2
Method: DFT, meta-GGA SCAN
State: single point on PBEsol structure

abc: 3.160 4.740 4.740
angles: 90.08 90.00 90.00
Sites, in units of the cell vectors:
Br  0.000  0.000  0.500
Br  0.000  0.500  0.000
Os  0.500  0.000  0.000
Ag  0.500  0.500  0.500

Properties
crystal system	orthorhombic
E_tot	-34.404	eV per atom
spin magnetization	0.00	μB/atom
space group	No. 65
polymorph energy (0 for the lowest one)	648	meV/atom



Material: ReAgOs2Br
Method: DFT, meta-GGA SCAN
State: single point on PBEsol structure

abc: 4.585 4.823 4.823
angles: 90.00 90.00 90.00
Each line ends with the local moment (μB).
Sites, in units of the cell vectors:
Br  0.500  0.000  0.000  0.23
Os  0.000  0.000  0.500  1.49
Ag  0.000  0.000  0.000  0.08
Re  0.500  0.500  0.500  2.67
Os  0.000  0.500  0.000  1.49

Properties
crystal system	tetragonal
E_tot	-49.784	eV per atom
spin magnetization	1.41	μB/atom
space group	No. 123



Material: Ag2PBr
Method: DFT, meta-GGA SCAN
State: single point on PBEsol structure

abc: 3.270 4.848 4.848
angles: 105.47 90.00 90.00
Sites, in units of the cell vectors:
Ag  0.000  0.500  0.000
Ag  0.000  0.000  0.500
Br  0.500  0.000  0.000
P  0.500  0.500  0.500

Properties
crystal system	orthorhombic
E_tot	-22.718	eV per atom
spin magnetization	0.00	μB/atom
space group	No. 65



Material: Ag2PBr
Method: DFT, meta-GGA SCAN
State: single point on PBEsol structure

abc: 3.277 3.538 7.285
angles: 104.05 103.00 90.00
Sites, in units of the cell vectors:
P  0.294  0.794  0.588
Br  0.550  0.550  0.101
Ag  0.723  0.223  0.446
Ag  0.932  0.932  0.865

Properties
crystal system	orthorhombic
E_tot	-23.015	eV per atom
spin magnetization	0.00	μB/atom
space group	No. 44



Material: AgPBr2
Method: DFT, meta-GGA SCAN
State: single point on PBEsol structure

abc: 3.289 3.971 7.051
angles: 90.00 102.20 90.00
Sites, in units of the cell vectors:
P  0.500  0.500  0.500
Ag  0.000  0.500  0.000
Br  0.369  0.000  0.250
Br  0.631  0.000  0.750

Properties
crystal system	monoclinic
E_tot	-19.819	eV per atom
spin magnetization	0.00	μB/atom
space group	No. 10
polymorph energy (0 for the lowest one)	32	meV/atom



Material: AgPBr2
Method: DFT, meta-GGA SCAN
State: single point on PBEsol structure

abc: 3.434 4.510 6.352
angles: 97.14 90.00 112.38
Sites, in units of the cell vectors:
Br  0.799  0.598  0.755
Ag  0.500  0.000  0.000
Br  0.201  0.402  0.245
P  0.000  0.000  0.500

Properties
crystal system	monoclinic
E_tot	-19.851	eV per atom
spin magnetization	0.00	μB/atom
space group	No. 12
polymorph energy (0 for the lowest one)	0	meV/atom



Material: AgPBr2
Method: DFT, meta-GGA SCAN
State: single point on PBEsol structure

abc: 3.329 4.923 4.923
angles: 90.00 90.00 90.00
Sites, in units of the cell vectors:
Ag  0.500  0.000  0.000
Br  0.000  0.500  0.000
P  0.500  0.500  0.500
Br  0.000  0.000  0.500

Properties
crystal system	tetragonal
E_tot	-19.611	eV per atom
spin magnetization	0.00	μB/atom
space group	No. 123
polymorph energy (0 for the lowest one)	239	meV/atom



Material: AgPBr2
Method: DFT, meta-GGA SCAN
State: single point on PBEsol structure

abc: 4.856 4.856 4.856
angles: 60.00 60.00 60.00
Sites, in units of the cell vectors:
Ag  0.500  0.500  0.500
Br  0.750  0.750  0.750
Br  0.000  0.000  0.000
P  0.250  0.250  0.250

Properties
crystal system	cubic
E_tot	-19.347	eV per atom
spin magnetization	0.00	μB/atom
space group	No. 216
polymorph energy (0 for the lowest one)	504	meV/atom



Material: AgPBr2
Method: DFT, meta-GGA SCAN
State: single point on PBEsol structure

abc: 3.747 3.747 7.402
angles: 104.66 104.66 90.00
Sites, in units of the cell vectors:
Br  0.750  0.250  0.500
Ag  0.250  0.750  0.500
Br  0.000  0.000  0.000
P  0.500  0.500  0.000

Properties
crystal system	tetragonal
E_tot	-19.786	eV per atom
spin magnetization	0.00	μB/atom
space group	No. 119
polymorph energy (0 for the lowest one)	65	meV/atom



Material: Ag3PbBr
Method: DFT, meta-GGA SCAN
State: single point on PBEsol structure

abc: 5.278 5.278 5.278
angles: 90.00 90.00 90.00
Sites, in units of the cell vectors:
Pb  0.000  0.000  0.000
Ag  0.500  0.000  0.000
Ag  0.000  0.000  0.500
Ag  0.000  0.500  0.000
Br  0.500  0.500  0.500

Properties
crystal system	cubic
E_tot	-37.251	eV per atom
spin magnetization	0.00	μB/atom
space group	No. 221



Material: Ag4PbBr
Method: DFT, meta-GGA SCAN
State: single point on PBEsol structure

abc: 5.573 5.573 5.573
angles: 60.00 60.00 60.00
Sites, in units of the cell vectors:
Pb  0.000  0.000  0.000
Ag  0.375  0.375  0.375
Br  0.750  0.750  0.750
Ag  0.375  0.875  0.375
Ag  0.375  0.375  0.875
Ag  0.875  0.375  0.375

Properties
crystal system	cubic
E_tot	-36.668	eV per atom
spin magnetization	0.00	μB/atom
space group	No. 216



Material: Ag2PbBr
Method: DFT, meta-GGA SCAN
State: single point on PBEsol structure

abc: 3.365 3.365 7.720
angles: 90.00 90.00 90.00
Sites, in units of the cell vectors:
Ag  0.000  0.000  0.758
Br  0.500  0.500  0.000
Ag  0.000  0.000  0.242
Pb  0.500  0.500  0.500

Properties
crystal system	tetragonal
E_tot	-39.457	eV per atom
spin magnetization	0.00	μB/atom
space group	No. 123
polymorph energy (0 for the lowest one)	64	meV/atom



Material: Ag2PbBr
Method: DFT, meta-GGA SCAN
State: single point on PBEsol structure

abc: 3.822 3.822 7.871
angles: 75.95 75.95 60.00
Sites, in units of the cell vectors:
Ag  0.745  0.745  0.765
Ag  0.008  0.008  0.976
Pb  0.261  0.261  0.216
Br  0.486  0.486  0.543

Properties
crystal system	trigonal
E_tot	-39.521	eV per atom
spin magnetization	0.00	μB/atom
space group	No. 160
polymorph energy (0 for the lowest one)	0	meV/atom



Material: AgPbBr2
Method: DFT, meta-GGA SCAN
State: single point on PBEsol structure

abc: 3.623 3.623 7.954
angles: 90.00 90.00 90.00
Sites, in units of the cell vectors:
Br  0.000  0.000  0.922
Br  0.500  0.500  0.289
Ag  0.500  0.500  0.765
Pb  0.000  0.000  0.524

Properties
crystal system	tetragonal
E_tot	-36.782	eV per atom
spin magnetization	0.00	μB/atom
space group	No. 99
polymorph energy (0 for the lowest one)	0	meV/atom



Ordered N(E_F) results: 0.000; 1.838; 2.933; 4.783; 2.454; 2.712; 2.014; 2.836; 1.241; 1.175; 1.257; 1.458; 1.946; 3.556; 2.680; 7.841; 3.172; 1.389; 1.623; 2.016; unit states/eV per cell.